Below is a relaxed Na2Bi4Pd3Pt crystal, with properties calculated at the PBE level.

a = 4.878 Å, b = 4.878 Å, c = 10.852 Å
α = 90.00°, β = 90.00°, γ = 90.00°
Space group P-4m2 (No. 115)
Inequivalent atoms, fractional coordinates:
1 Na 0.000 0.500 0.227 [2 per cell]
2 Bi 0.000 0.000 0.500 [1 per cell]
3 Bi 0.000 0.500 0.879 [2 per cell]
4 Bi 0.500 0.500 0.500 [1 per cell]
5 Pd 0.000 0.000 0.000 [1 per cell]
6 Pd 0.000 0.500 0.628 [2 per cell]
7 Pt 0.500 0.500 0.000 [1 per cell]


Below is a relaxed Rb2NaBiPd crystal, with properties calculated at the PBE level.

a = 6.327 Å, b = 6.327 Å, c = 5.543 Å
α = 90.00°, β = 90.00°, γ = 90.00°
Space group P4/mmm (No. 123)
Inequivalent atoms, fractional coordinates:
1 Rb 0.000 0.500 0.000 [2 per cell]
2 Na 0.000 0.000 0.500 [1 per cell]
3 Bi 0.500 0.500 0.500 [1 per cell]
4 Pd 0.000 0.000 0.000 [1 per cell]


Below is a relaxed Na2Bi2PdRh crystal, with properties calculated at the PBE level.

a = 6.750 Å, b = 13.764 Å, c = 6.490 Å
α = 90.00°, β = 90.00°, γ = 90.00°
Space group Ibam (No. 72)
Inequivalent atoms, fractional coordinates:
1 Na 0.243 0.152 0.000 [8 per cell]
2 Bi 0.241 0.393 0.000 [8 per cell]
3 Pd 0.000 0.000 0.250 [4 per cell]
4 Rh 0.000 0.500 0.250 [4 per cell]


How do the records compare in energy relative to the elements? In the order shown, they have -262; 200; -266 meV per atom.